Ce8Ge3As4 after structural relaxation, computed with PBE-GGA.

Computed properties:
DOS(E_F) = 76.9 states/eV/cell
M_tot = 0.447 μB/atom
Calculated formation energy = -976 meV/atom

a b c (Å): 11.905 11.916 8.407
angles (deg): 90.00 134.82 90.00
Space group C2/m (No. 12)
Inequivalent atoms, fractional coordinates:
Ce 0.000 0.247 0.000 x4
Ce 0.000 0.250 0.500 x4
Ce 0.246 0.000 0.493 x4
Ce 0.248 0.000 0.999 x4
Ge 0.000 0.500 0.500 x2
Ge 0.250 0.250 0.000 x4
As 0.000 0.000 0.000 x2
As 0.000 0.000 0.500 x2
As 0.250 0.250 0.500 x4

---

CeGeAs after structural relaxation, computed with PBE-GGA.

Computed properties:
DOS(E_F) = 9.9 states/eV/cell
M_tot = 0.159 μB/atom
Calculated formation energy = -598 meV/atom

a b c (Å): 4.175 4.175 8.257
angles (deg): 90.00 90.00 90.00
Space group I4mm (No. 107)
Inequivalent atoms, fractional coordinates:
Ce 0.000 0.000 0.000 x2
Ge 0.000 0.000 0.354 x2
As 0.000 0.000 0.639 x2

---

Ce4Ge2As after structural relaxation, computed with PBE-GGA.

Computed properties:
DOS(E_F) = 82.3 states/eV/cell
M_tot = 0.547 μB/atom
Calculated formation energy = -859 meV/atom

a b c (Å): 8.956 8.956 8.955
angles (deg): 90.00 90.00 90.00
Space group I-42d (No. 122)
Inequivalent atoms, fractional coordinates:
Ce 0.072 0.180 0.303 x16
Ge 0.125 0.250 0.625 x8
As 0.000 0.000 0.000 x4

---

Ce2GeAs after structural relaxation, computed with PBE-GGA.

Computed properties:
DOS(E_F) = 19.2 states/eV/cell
M_tot = 0.208 μB/atom
Calculated formation energy = -1040 meV/atom

a b c (Å): 4.2230 4.2230 20.7083
angles (deg): 90.00 90.00 120.00
Space group R-3m (No. 166, hexagonal axes)
Inequivalent atoms, fractional coordinates:
Ce 0.0000 0.0000 0.2503 x6
Ge 0.0000 0.0000 0.5000 x3
As 0.0000 0.0000 0.0000 x3

---

CeGeAs after structural relaxation, computed with PBE-GGA.

Computed properties:
DOS(E_F) = 5.4 states/eV/cell
M_tot = 0.197 μB/atom
Calculated formation energy = -674 meV/atom

a b c (Å): 4.4700 4.4700 3.9382
angles (deg): 90.00 90.00 120.00
Space group P-6m2 (No. 187)
Inequivalent atoms, fractional coordinates:
Ce 0.0000 0.0000 0.0000 x1
Ge 0.6667 0.3333 0.5000 x1
As 0.3333 0.6667 0.5000 x1

---

CeGeAs after structural relaxation, computed with PBE-GGA.

Computed properties:
DOS(E_F) = 12.4 states/eV/cell
M_tot = 0.000 μB/atom
Calculated formation energy = -437 meV/atom

a b c (Å): 7.4625 7.4625 4.3606
angles (deg): 90.00 90.00 120.00
Space group P-62m (No. 189)
Inequivalent atoms, fractional coordinates:
Ce 0.0000 0.0000 0.0000 x1
Ce 0.3333 0.6667 0.5000 x2
Ge 0.0000 0.2375 0.5000 x3
As 0.0000 0.5780 0.0000 x3

---

Ce2GeAs after structural relaxation, computed with PBE-GGA.

Computed properties:
DOS(E_F) = 9.8 states/eV/cell
M_tot = 0.348 μB/atom
Calculated formation energy = -852 meV/atom

a b c (Å): 3.523 3.523 7.609
angles (deg): 90.00 90.00 90.00
Space group P4/mmm (No. 123)
Inequivalent atoms, fractional coordinates:
Ce 0.000 0.000 0.239 x2
Ge 0.500 0.500 0.500 x1
As 0.500 0.500 0.000 x1

---

Ce4GeAs5 after structural relaxation, computed with PBE-GGA.

Computed properties:
DOS(E_F) = 35.0 states/eV/cell
M_tot = 0.213 μB/atom
Calculated formation energy = -907 meV/atom

a b c (Å): 14.929 4.329 8.070
angles (deg): 90.00 91.24 90.00
Space group C2/m (No. 12)
Inequivalent atoms, fractional coordinates:
Ce 0.010 0.000 0.263 x4
Ce 0.213 0.500 0.751 x4
Ge 0.000 0.500 0.000 x2
As 0.000 0.500 0.500 x2
As 0.142 0.000 0.992 x4
As 0.158 0.000 0.516 x4

---

Ce4GeAs3 after structural relaxation, computed with PBE-GGA.

Computed properties:
DOS(E_F) = 18.2 states/eV/cell
M_tot = 0.305 μB/atom
Calculated formation energy = -1237 meV/atom

a b c (Å): 5.971 5.971 5.971
angles (deg): 90.00 90.00 90.00
Space group Pm-3m (No. 221)
Inequivalent atoms, fractional coordinates:
Ce 0.000 0.000 0.000 x1
Ce 0.000 0.500 0.500 x3
Ge 0.500 0.500 0.500 x1
As 0.000 0.000 0.500 x3

---

CeGeAs2 after structural relaxation, computed with PBE-GGA.

Computed properties:
DOS(E_F) = 2.1 states/eV/cell
M_tot = 0.000 μB/atom
Calculated formation energy = -673 meV/atom

a b c (Å): 4.529 4.529 4.020
angles (deg): 90.00 90.00 90.00
Space group P4/mmm (No. 123)
Inequivalent atoms, fractional coordinates:
Ce 0.000 0.000 0.000 x1
Ge 0.500 0.500 0.000 x1
As 0.000 0.500 0.500 x2

---

Ce2GeAs3Ir4 after structural relaxation, computed with PBE-GGA.

Computed properties:
DOS(E_F) = 8.0 states/eV/cell
M_tot = 0.043 μB/atom
Calculated formation energy = -763 meV/atom

a b c (Å): 4.231 4.231 10.259
angles (deg): 90.00 90.00 90.00
Space group P-4m2 (No. 115)
Inequivalent atoms, fractional coordinates:
Ce 0.000 0.500 0.249 x2
Ge 0.500 0.500 0.000 x1
As 0.000 0.000 0.000 x1
As 0.000 0.500 0.639 x2
Ir 0.000 0.000 0.500 x1
Ir 0.000 0.500 0.874 x2
Ir 0.500 0.500 0.500 x1

---

Ce5Ge2AsN after structural relaxation, computed with PBE-GGA.

Computed properties:
DOS(E_F) = 24.6 states/eV/cell
M_tot = 0.431 μB/atom
Energy relative to the elements, uncorrected = -0.89 eV/atom

a b c (Å): 4.583 4.583 11.044
angles (deg): 90.00 90.00 90.00
Space group P4/mmm (No. 123)
Inequivalent atoms, fractional coordinates:
Ce 0.000 0.000 0.000 x1
Ce 0.000 0.500 0.500 x2
Ce 0.500 0.500 0.260 x2
Ge 0.000 0.000 0.294 x2
As 0.500 0.500 0.000 x1
N 0.500 0.500 0.500 x1